(1)
Here is a relaxed structure of ZrTaSi from Alexandria via LeMat-Bulk. Energies are from PBE.

Cell: 3.7085 7.1246 12.3015 Å, 90.00 90.00 90.00°
Sites, in units of the cell vectors:
Zr: 0.0000 0.2375 0.9511
Zr: 0.0000 0.7625 0.0489
Zr: 0.0000 0.2375 0.5489
Zr: 0.0000 0.7625 0.4511
Zr: 0.0000 0.1555 0.2500
Zr: 0.0000 0.8445 0.7500
Ta: 0.5000 0.4364 0.1141
Ta: 0.5000 0.5636 0.8859
Ta: 0.5000 0.4364 0.3859
Ta: 0.5000 0.5636 0.6141
Ta: 0.5000 0.8036 0.2500
Ta: 0.5000 0.1964 0.7500
Si: 0.5000 0.0596 0.0942
Si: 0.5000 0.9404 0.9058
Si: 0.5000 0.0596 0.4058
Si: 0.5000 0.9404 0.5942
Si: 0.0000 0.5482 0.2500
Si: 0.0000 0.4518 0.7500

Calculated values
- Formation energy (no corrections): -0.65 eV/atom
- Crystal system: orthorhombic

---

(2)
Here is a relaxed structure of PrDyTe2O from Alexandria via LeMat-Bulk. Energies are from PBE.

Cell: 4.2377 4.2377 15.7882 Å, 90.00 90.00 90.00°
Sites, in units of the cell vectors:
Pr: 0.5000 0.0000 0.5717
Pr: 0.0000 0.5000 0.4283
Dy: 0.5000 0.0000 0.1276
Dy: 0.0000 0.5000 0.8724
Te: 0.0000 0.5000 0.6915
Te: 0.0000 0.5000 0.0851
Te: 0.5000 0.0000 0.9149
Te: 0.5000 0.0000 0.3085
O: 0.0000 0.0000 0.5000
O: 0.5000 0.5000 0.5000

Calculated values
- Formation energy (no corrections): -2.05 eV/atom
- Crystal system: tetragonal

---

(3)
Here is a relaxed structure of NbW3Au from Alexandria via LeMat-Bulk. Energies are from PBE.

Cell: 4.7477 4.7477 4.7477 Å, 90.00 90.00 90.00°
Sites, in units of the cell vectors:
Nb: 0.0000 0.0000 0.0000
Au: 0.5000 0.5000 0.5000
W: 0.0000 0.5000 0.0000
W: 0.0000 0.0000 0.5000
W: 0.5000 0.0000 0.0000

Calculated values
- Crystal system: cubic
- ΔE_f: 2.2486 eV per atom
- Relative energy among the computed polymorphs: 0 kJ/mol of formula units

---

(4)
Here is a relaxed structure of HfScNi3 from Alexandria via LeMat-Bulk. Energies are from PBE.

Cell: 4.5652 4.5652 4.5652 Å, 90.00 90.00 90.00°
Sites, in units of the cell vectors:
Sc: 0.5000 0.5000 0.5000
Ni: 0.0000 0.5000 0.0000
Ni: 0.0000 0.0000 0.5000
Ni: 0.5000 0.0000 0.0000
Hf: 0.0000 0.0000 0.0000

Calculated values
- Crystal system: cubic
- ΔE_f: 0.5616 eV per atom
- Relative energy among the computed polymorphs: 0 kJ/mol of formula units

---

(5)
Here is a relaxed structure of NbHgAu from Alexandria via LeMat-Bulk. Energies are from PBE.

Cell: 5.3206 4.9342 16.8866 Å, 134.42 154.77 61.64°
Sites, in units of the cell vectors:
Nb: 0.1519 0.6551 0.7065
Nb: 0.8481 0.3449 0.2935
Au: 0.3080 0.9209 0.2092
Au: 0.6920 0.0791 0.7908
Hg: 0.8500 0.3617 0.7310
Hg: 0.1500 0.6383 0.2690

Calculated values
- Crystal system: triclinic
- ΔE_f: 0.1996 eV per atom
- Relative energy among the computed polymorphs: 42 kJ/mol of formula units

---

(6)
Here is a relaxed structure of CsTl6Te4 from Alexandria via LeMat-Bulk. Energies are from PBE.

Cell: 5.0447 9.8278 9.8278 Å, 120.00 90.00 90.00°
Sites, in units of the cell vectors:
Cs: 0.0000 0.0000 0.0000
Tl: 0.0000 0.5417 0.0835
Tl: 0.5000 0.6001 0.8000
Tl: 0.0000 0.5417 0.4583
Tl: 0.0000 0.9165 0.4583
Tl: 0.5000 0.2000 0.8000
Tl: 0.5000 0.2000 0.3999
Te: 0.5000 0.8244 0.6488
Te: 0.5000 0.3512 0.1756
Te: 0.5000 0.8244 0.1756
Te: 0.0000 0.3333 0.6667

Calculated values
- Formation energy (no corrections): -0.36 eV/atom
- Crystal system: hexagonal
- Relative energy among the computed polymorphs: 0 kJ/mol of formula units

---

(7)
Here is a relaxed structure of Al2ZnCo from Alexandria via LeMat-Bulk. Energies are from PBE.

Cell: 8.6016 8.6016 8.6016 Å, 18.69 18.69 18.69°
Sites, in units of the cell vectors:
Zn: 0.7581 0.7581 0.7581
Co: 0.5019 0.5019 0.5019
Al: 0.9999 0.9999 0.9999
Al: 0.2401 0.2401 0.2401

Calculated values
- Crystal system: trigonal
- ΔE_f: -0.0625 eV per atom

---

(8)
Here is a relaxed structure of Pr2ZnAg6 from Alexandria via LeMat-Bulk. Energies are from PBE.

Cell: 5.9727 6.1615 6.1615 Å, 59.99 90.00 90.00°
Sites, in units of the cell vectors:
Pr: 0.8448 0.6666 0.6666
Pr: 0.1552 0.3334 0.3334
Zn: 0.0000 0.0000 0.0000
Ag: 0.3223 0.3537 0.8232
Ag: 0.3222 0.8231 0.8231
Ag: 0.3223 0.8232 0.3537
Ag: 0.6777 0.6463 0.1768
Ag: 0.6778 0.1769 0.1769
Ag: 0.6777 0.1768 0.6463

Calculated values
- Crystal system: trigonal
- ΔE_f: -0.1814 eV per atom

---

(9)
Here is a relaxed structure of MnGe2Cl from Alexandria via LeMat-Bulk. Energies are from PBE.

Cell: 4.7509 4.7509 4.7509 Å, 60.00 60.00 60.00°
Sites, in units of the cell vectors:
Ge: 0.2500 0.2500 0.2500
Ge: 0.7500 0.7500 0.7500
Mn: 0.5000 0.5000 0.5000
Cl: 0.0000 0.0000 0.0000

Calculated values
- Formation energy (no corrections): 0.48 eV/atom
- Crystal system: cubic
- Relative energy among the computed polymorphs: 29 kJ/mol of formula units

---

(10)
Here is a relaxed structure of SmPu2Tl from Alexandria via LeMat-Bulk. Energies are from PBE.

Cell: 5.4225 5.4225 5.4238 Å, 60.01 60.01 60.00°
Sites, in units of the cell vectors:
Tl: 0.0000 0.0000 0.0000
Sm: 0.5000 0.5000 0.5000
Pu: 0.2500 0.2500 0.2501
Pu: 0.7500 0.7500 0.7499

Calculated values
- Crystal system: cubic
- ΔE_f: 0.1883 eV per atom
- Relative energy among the computed polymorphs: 85 kJ/mol of formula units

---

(11)
Here is a relaxed structure of Mg2ScIO from Alexandria via LeMat-Bulk. Energies are from PBE.

Cell: 6.1570 3.8971 6.1570 Å, 90.00 90.00 90.00°
Sites, in units of the cell vectors:
I: 0.5000 0.5000 0.5000
Sc: 0.0000 0.0000 0.0000
Mg: 0.0000 0.0000 0.5000
Mg: 0.5000 0.0000 0.0000
O: 0.0000 0.5000 0.0000

Calculated values
- Formation energy (no corrections): -0.66 eV/atom
- Crystal system: tetragonal

---

(12)
Here is a relaxed structure of SiSnIr3 from Alexandria via LeMat-Bulk. Energies are from PBE.

Cell: 4.8652 4.8652 4.8652 Å, 90.00 90.00 90.00°
Sites, in units of the cell vectors:
Si: 0.5000 0.5000 0.5000
Ir: 0.0000 0.5000 0.0000
Ir: 0.0000 0.0000 0.5000
Ir: 0.5000 0.0000 0.0000
Sn: 0.0000 0.0000 0.0000

Calculated values
- Formation energy (no corrections): 1.97 eV/atom
- Crystal system: cubic
- Relative energy among the computed polymorphs: 692 kJ/mol of formula units

---

Total moment values (in μB/atom) by entry order: 0.000, 0.000, 0.000, 0.000, 0.000, 0.000, 0.248, 0.000, 0.951, 3.426, 0.000, 0.186.
Density of states at the Fermi level values (in states/eV/f.u.) by entry order: 1.45, 1.51, 2.43, 3.39, 1.55, 4.17, 2.04, 4.87, 3.08, 12.67, 0.53, 3.86.